Entry 1:
VASP calculation (PBE) on Ni2AgPb2 after structural relaxation.

Unit cell a=7.6856 b=7.6856 c=3.2668 alpha=90.00 beta=90.00 gamma=90.00
Closest atoms and distances in Å follow each position.
Space group P4/mbm (No. 127)
Inequivalent atoms, fractional coordinates:
Ni: 0.1299 0.3701 0.0000 x4  6 Pb 2.78-2.80, 1 Ni 2.82
Ag: 0.0000 0.0000 0.5000 x2  4 Pb 2.89
Pb: 0.1607 0.6607 0.5000 x4  6 Ni 2.78-2.80, 2 Ag 2.89

Values from the calculation:
The value obtained for the distance to the lowest polymorph of the same formula is 0.819 eV per formula unit. The energy of formation from the pure elements comes out at 32.0 kJ/mol of atoms.

---

Entry 2:
VASP calculation (PBE) on TaBiSe2Br after structural relaxation.

Unit cell a=5.5529 b=5.5529 c=5.3973 alpha=90.00 beta=90.00 gamma=90.00
Closest atoms and distances in Å follow each position.
Space group P4/mmm (No. 123)
Inequivalent atoms, fractional coordinates:
Ta: 0.0000 0.0000 0.0000 x1  8 Se 3.87, 4 Br 3.93
Bi: 0.5000 0.5000 0.5000 x1  2 Br 2.70, 4 Se 2.78
Se: 0.0000 0.5000 0.5000 x2  2 Bi 2.78
Br: 0.5000 0.5000 0.0000 x1  2 Bi 2.70

Values from the calculation:
The value obtained for the distance to the lowest polymorph of the same formula is 5.608 eV per formula unit. The uncorrected formation energy is 1.1294 eV per atom.

---

Entry 3:
VASP calculation (PBE) on LaGa2SiRu2 after structural relaxation.

Unit cell a=4.4501 b=4.4501 c=5.8141 alpha=90.00 beta=90.00 gamma=90.00
Closest atoms and distances in Å follow each position.
Space group P4/mmm (No. 123)
Inequivalent atoms, fractional coordinates:
La: 0.0000 0.0000 0.0000 x1  2 Si 2.91
Ga: 0.5000 0.5000 0.2341 x2  4 Ru 2.71, 1 Ga 2.72
Si: 0.0000 0.0000 0.5000 x1  4 Ru 2.23
Ru: 0.0000 0.5000 0.5000 x2  2 Si 2.23

Values from the calculation:
The uncorrected formation energy is -0.4458 eV per atom.

---

Entry 4:
VASP calculation (PBE) on Pd2PtAu after structural relaxation.

Unit cell a=3.8478 b=3.8478 c=18.9044 alpha=90.00 beta=90.00 gamma=90.00
Closest atoms and distances in Å follow each position.
Space group I-42d (No. 122)
Inequivalent atoms, fractional coordinates:
Pd: 0.2436 0.2500 0.1250 x8  4 Pd 2.69-2.76, 2 Pt 2.72, 2 Au 2.74
Pt: 0.0000 0.0000 0.0000 x4  4 Pd 2.72, 4 Au 2.72
Au: 0.0000 0.0000 0.5000 x4  4 Pt 2.72, 4 Pd 2.74

Values from the calculation:
The value obtained for the distance to the lowest polymorph of the same formula is 1.222 eV per formula unit. The energy of formation from the pure elements comes out at 25.6 kJ/mol of atoms.

---

Entry 5:
VASP calculation (PBE) on PmNd2Cd6 after structural relaxation.

Unit cell a=8.8008 b=8.8008 c=3.4600 alpha=90.00 beta=90.00 gamma=120.00
Closest atoms and distances in Å follow each position.
Space group P6/mmm (No. 191)
Inequivalent atoms, fractional coordinates:
Pm: 0.0000 0.0000 0.0000 x1  12 Cd 3.40, 2 Pm 3.46
Nd: 0.3333 0.6667 0.0000 x2  12 Cd 3.41, 2 Nd 3.46
Cd: 0.0000 0.3327 0.5000 x6  3 Cd 2.93-2.94

Values from the calculation:
The energy of formation from the pure elements comes out at -33.2 kJ/mol of atoms.

---

Entry 6:
VASP calculation (PBE) on NbTlSi3 after structural relaxation.

Unit cell a=4.9537 b=4.9537 c=4.9537 alpha=90.00 beta=90.00 gamma=90.00
Closest atoms and distances in Å follow each position.
Space group Pm-3m (No. 221)
Inequivalent atoms, fractional coordinates:
Nb: 0.0000 0.0000 0.0000 x1  6 Si 2.48
Tl: 0.5000 0.5000 0.5000 x1  12 Si 3.50
Si: 0.0000 0.0000 0.5000 x3  2 Nb 2.48

Values from the calculation:
The value obtained for the distance to the lowest polymorph of the same formula is 0.000 eV per formula unit. The uncorrected formation energy is 0.4604 eV per atom.

---

Entry 7:
VASP calculation (PBE) on ThZrTcNi after structural relaxation.

Unit cell a=6.7933 b=6.7933 c=6.7933 alpha=90.00 beta=90.00 gamma=90.00
Closest atoms and distances in Å follow each position.
Space group F-43m (No. 216)
Inequivalent atoms, fractional coordinates:
Th: 0.0000 0.0000 0.0000 x4  4 Tc 2.94, 4 Ni 2.94
Zr: 0.0000 0.0000 0.5000 x4  4 Ni 2.94, 4 Tc 2.94
Tc: 0.2500 0.2500 0.2500 x4  4 Zr 2.94, 4 Th 2.94
Ni: 0.2500 0.2500 0.7500 x4  4 Th 2.94, 4 Zr 2.94

Values from the calculation:
The energy of formation from the pure elements comes out at -21.8 kJ/mol of atoms.

---

Entry 8:
VASP calculation (PBE) on Fe2CuMo after structural relaxation.

Unit cell a=2.5575 b=2.5575 c=7.9779 alpha=90.00 beta=90.00 gamma=90.00
Closest atoms and distances in Å follow each position.
Space group P4mm (No. 99)
Inequivalent atoms, fractional coordinates:
Fe: 0.0000 0.0000 0.0000 x1  8 Fe 2.56-2.61, 4 Cu 2.60
Fe: 0.5000 0.5000 0.2363 x1  8 Fe 2.56-2.61, 4 Mo 2.79
Cu: 0.5000 0.5000 0.7657 x1  4 Cu 2.56, 4 Fe 2.60, 4 Mo 2.77
Mo: 0.0000 0.0000 0.5021 x1  4 Mo 2.56, 4 Cu 2.77, 4 Fe 2.79

Values from the calculation:
The value obtained for the distance to the lowest polymorph of the same formula is 0.155 eV per formula unit. The energy of formation from the pure elements comes out at 18.2 kJ/mol of atoms.

---

Entry 9:
VASP calculation (PBE) on TeBr after structural relaxation.

Unit cell a=6.5508 b=6.5508 c=6.5508 alpha=90.00 beta=90.00 gamma=90.00
Closest atoms and distances in Å follow each position.
Space group P2_13 (No. 198)
Inequivalent atoms, fractional coordinates:
Te: 0.1570 0.1570 0.1570 x4  1 Br 2.53
Br: 0.1201 0.6201 0.8799 x4  1 Te 2.53

Values from the calculation:
The uncorrected formation energy is 0.2932 eV per atom.

---

Entry 10:
VASP calculation (PBE) on YGaCo2H after structural relaxation.

Unit cell a=3.5828 b=10.4007 c=7.1525 alpha=90.00 beta=90.00 gamma=90.00
Closest atoms and distances in Å follow each position.
Space group Cmcm (No. 63)
Inequivalent atoms, fractional coordinates:
Y: 0.0000 0.0503 0.2500 x4  4 H 2.58, 1 Ga 2.89
Ga: 0.0000 0.2271 0.7500 x4  6 Co 2.40-2.45
Co: 0.0000 0.3413 0.0497 x8  1 H 1.69
H: 0.0000 0.5000 0.0000 x4  2 Co 1.69

Values from the calculation:
The total energy is -5.73 eV per atom.

---

Entry 11:
VASP calculation (PBE) on CuTeMo2 after structural relaxation.

Unit cell a=3.3550 b=3.3550 c=5.9471 alpha=90.00 beta=90.00 gamma=90.00
Closest atoms and distances in Å follow each position.
Space group P4mm (No. 99)
Inequivalent atoms, fractional coordinates:
Cu: 0.0000 0.0000 0.0000 x1  5 Mo 2.67-2.71, 4 Te 2.84
Te: 0.5000 0.5000 0.7363 x1  4 Cu 2.84, 6 Mo 2.87-3.07
Mo: 0.0000 0.0000 0.4490 x1  1 Cu 2.67, 4 Mo 2.74, 4 Te 2.92
Mo: 0.5000 0.5000 0.2196 x1  4 Cu 2.71, 4 Mo 2.74, 1 Te 2.87

Values from the calculation:
The uncorrected formation energy is 0.2707 eV per atom.

---

Entry 12:
VASP calculation (PBE) on SmMg2Tl2 after structural relaxation.

Unit cell a=5.0757 b=5.0757 c=13.1504 alpha=90.00 beta=90.00 gamma=120.00
Closest atoms and distances in Å follow each position.
Space group P6_3/mmc (No. 194)
Inequivalent atoms, fractional coordinates:
Sm: 0.0000 0.0000 0.2500 x2  3 Mg 2.93
Mg: 0.0000 0.0000 0.0000 x2  2 Sm 3.29, 6 Tl 3.32
Mg: 0.3333 0.6667 0.2500 x2  3 Sm 2.93
Tl: 0.3333 0.6667 0.6185 x4  6 Mg 3.32-3.40, 3 Sm 3.40, 1 Tl 3.46

Values from the calculation:
The value obtained for the distance to the lowest polymorph of the same formula is 1.580 eV per formula unit. The energy of formation from the pure elements comes out at 14.9 kJ/mol of atoms.

---

Entry 13:
VASP calculation (PBE) on SrMo2Pb after structural relaxation.

Unit cell a=3.3664 b=3.3664 c=8.3149 alpha=90.00 beta=90.00 gamma=90.00
Closest atoms and distances in Å follow each position.
Space group P4mm (No. 99)
Inequivalent atoms, fractional coordinates:
Sr: 0.0000 0.0000 0.0000 x1  4 Sr 3.37, 5 Mo 3.41-3.57, 4 Pb 3.60
Mo: 0.0000 0.0000 0.5709 x1  4 Mo 2.63
Mo: 0.5000 0.5000 0.7058 x1  4 Mo 2.63
Pb: 0.5000 0.5000 0.3253 x1  5 Mo 3.14-3.16, 4 Pb 3.37

Values from the calculation:
The energy of formation from the pure elements comes out at 32.1 kJ/mol of atoms.

---

Entry 14:
VASP calculation (PBE) on CoMoRh2 after structural relaxation.

Unit cell a=5.4118 b=7.5484 c=2.7211 alpha=90.00 beta=90.00 gamma=90.00
Closest atoms and distances in Å follow each position.
Space group Cmmm (No. 65)
Inequivalent atoms, fractional coordinates:
Co: 0.0000 0.0000 0.0000 x2  8 Rh 2.69, 2 Mo 2.71, 2 Co 2.72
Mo: 0.0000 0.5000 0.0000 x2  8 Rh 2.69, 2 Co 2.71, 2 Mo 2.72
Rh: 0.2500 0.2500 0.5000 x4  4 Mo 2.69, 4 Co 2.69, 4 Rh 2.71-2.72

Values from the calculation:
The value obtained for the distance to the lowest polymorph of the same formula is 0.434 eV per formula unit. The energy of formation from the pure elements comes out at -0.5 kJ/mol of atoms.

---

no.,calculated density (g/cm3)
1,11.0
2,6.3
3,7.3
4,14.4
5,7.9
6,5.2
7,10.2
8,8.6
9,4.9
10,6.9
11,9.5
12,6.9
13,8.6
14,10.8